Below is an optimized crystal structure of NdCoNO, with properties calculated at the GGA+U level.

Unit cell a=5.6536 b=3.4955 c=5.7438 alpha=90.00 beta=90.00 gamma=90.00
Positions (direct):
Co 0.7442 0.5000 0.4898
Co 0.2558 0.5000 0.9898
N 0.5468 0.5000 0.2142
N 0.4532 0.5000 0.7142
Nd 0.2908 0.0000 0.4651
Nd 0.7092 0.0000 0.9651
O 0.1048 0.0000 0.0769
O 0.8952 0.0000 0.5769

Computed properties:
V	14.188	Å³ per atom
uncorrected energy	-7.015	eV/atom
space group	Pmc2_1 (26)

Below is an optimized crystal structure of NdCoNO, with properties calculated at the GGA+U level.

Unit cell a=3.7721 b=5.2705 c=5.9774 alpha=90.00 beta=90.00 gamma=90.00
Positions (direct):
Co 0.5000 0.9826 0.2033
Co 0.5000 0.4826 0.7967
N 0.0000 0.9438 0.3198
N 0.0000 0.4438 0.6802
Nd 0.0000 0.4732 0.2879
Nd 0.0000 0.9732 0.7121
O 0.5000 0.3544 0.1111
O 0.5000 0.8544 0.8889

Computed properties:
V	14.854	Å³ per atom
uncorrected energy	-7.004	eV/atom
space group	Pmc2_1 (26)

Below is an optimized crystal structure of NdCoNO, with properties calculated at the GGA+U level.

Unit cell a=4.9198 b=4.9198 c=4.5425 alpha=90.00 beta=90.00 gamma=90.00
Positions (direct):
Co 0.0000 0.5000 0.0126
Co 0.5000 0.0000 0.9874
N 0.0000 0.5000 0.4741
N 0.5000 0.0000 0.5259
Nd 0.0000 0.0000 0.5000
Nd 0.5000 0.5000 0.5000
O 0.0000 0.0000 0.0000
O 0.5000 0.5000 0.0000

Computed properties:
V	13.743	Å³ per atom
uncorrected energy	-6.769	eV/atom
space group	P4/nmm (129)

Below is an optimized crystal structure of NdCoNO, with properties calculated at the GGA+U level.

Unit cell a=3.8089 b=3.8089 c=7.3880 alpha=90.00 beta=90.00 gamma=90.00
Positions (direct):
Co 0.0000 0.0000 0.5000
Co 0.5000 0.5000 0.5000
N 0.5000 0.0000 0.4320
N 0.0000 0.5000 0.5680
Nd 0.0000 0.5000 0.1716
Nd 0.5000 0.0000 0.8284
O 0.0000 0.0000 0.0000
O 0.5000 0.5000 0.0000

Computed properties:
V	13.398	Å³ per atom
uncorrected energy	-6.989	eV/atom
space group	P4/nmm (129)